# 1
Pu2Ge3Rh: relaxed, PBE.

The structure in extended XYZ format:
```
6
Lattice="5.143 -2.222 0.000 5.143 2.222 0.000 -4.570 0.000 5.263" Properties=species:S:1:pos:R:3 pbc="T T T"
Pu 0.000 0.000 0.000
Pu -1.607 0.000 3.159
Ge 3.054 0.000 1.029
Ge 2.656 0.000 5.088
Ge 5.662 0.000 2.111
Rh 1.308 0.000 2.982
```

SG: No. 8
V in A^3/atom: 20.055
Offset from the most stable computed form in meV/atom: 0
Final energy in eV/atom: -8.814

***

# 2
ZnInB: relaxed, PBE.

The structure in extended XYZ format:
```
6
Lattice="3.532 0.000 0.000 -1.659 5.119 0.000 -0.753 -0.427 5.707" Properties=species:S:1:pos:R:3 pbc="T T T"
Zn 0.000 0.000 0.000
Zn 0.022 2.410 1.456
In -1.718 4.698 3.007
In 1.030 1.983 4.672
B 0.091 4.502 1.286
B 1.800 0.994 1.218
```

SG: No. 1
V in A^3/atom: 17.196
Final energy in eV/atom: -3.129

***

# 3
Sc2PPb: relaxed, PBE.

The structure in extended XYZ format:
```
4
Lattice="-1.881 2.822 4.140 1.881 -2.822 4.140 1.881 2.822 -4.140" Properties=species:S:1:pos:R:3 pbc="T T T"
Sc 0.000 0.000 1.769
Sc 0.000 0.000 6.511
P 1.881 0.000 0.000
Pb 0.000 2.822 0.000
```

SG: No. 71
V in A^3/atom: 21.976
Offset from the most stable computed form in meV/atom: 362
Final energy in eV/atom: -6.070

***

# 4
LaNb2Ir2: relaxed, PBE.

The structure in extended XYZ format:
```
5
Lattice="-2.342 2.342 5.020 2.342 -2.342 5.020 2.342 2.342 -5.020" Properties=species:S:1:pos:R:3 pbc="T T T"
La 0.000 0.000 0.000
Nb 0.000 0.000 3.627
Nb 0.000 0.000 6.412
Ir 2.342 0.000 2.510
Ir 0.000 2.342 2.510
```

SG: No. 139
V in A^3/atom: 22.027
Offset from the most stable computed form in meV/atom: 383
Final energy in eV/atom: -8.724

***

# 5
NbAlPO2: relaxed, PBE.

The structure in extended XYZ format:
```
5
Lattice="3.593 0.000 0.000 0.000 3.593 0.000 0.000 0.000 5.079" Properties=species:S:1:pos:R:3 pbc="T T T"
Nb 0.000 0.000 0.000
Al 1.796 1.796 2.540
P 1.796 1.796 0.000
O 0.000 1.796 2.540
O 1.796 0.000 2.540
```

SG: No. 123
V in A^3/atom: 13.111
Offset from the most stable computed form in meV/atom: 215
E_form (uncorrected) in eV per atom: -1.056
Final energy in eV/atom: -6.884

***

# 6
Na3PrPa2N6: relaxed, PBE.

The structure in extended XYZ format:
```
12
Lattice="3.051 -5.522 0.000 3.051 5.522 0.000 -1.844 0.000 5.763" Properties=species:S:1:pos:R:3 pbc="T T T"
Na 0.000 0.000 0.000
Na 3.051 1.887 0.000
Na 3.051 -1.887 0.000
Pr 2.129 0.000 2.881
Pa 2.129 3.718 2.881
Pa 2.129 -3.718 2.881
N 0.908 1.936 1.769
N -0.006 0.000 4.006
N 0.908 -1.936 1.769
N 3.351 1.936 3.994
N 4.265 0.000 1.757
N 3.351 -1.936 3.994
```

SG: No. 12
V in A^3/atom: 16.183
E_form (uncorrected) in eV per atom: -0.883
Final energy in eV/atom: -7.357

***

# 7
HgGeAsBr2: relaxed, PBE.

The structure in extended XYZ format:
```
5
Lattice="5.406 0.000 0.000 0.000 5.406 0.000 0.000 0.000 5.376" Properties=species:S:1:pos:R:3 pbc="T T T"
Hg 0.000 0.000 0.000
Ge 2.703 2.703 2.688
As 0.000 0.000 2.688
Br 0.000 2.703 0.000
Br 2.703 0.000 0.000
```

SG: No. 123
V in A^3/atom: 31.420
Offset from the most stable computed form in meV/atom: 435
E_form (uncorrected) in eV per atom: 0.592
Final energy in eV/atom: -1.991

***

# 8
HfCrB2: relaxed, PBE.

The structure in extended XYZ format:
```
4
Lattice="1.644 0.949 4.818 -1.644 0.949 4.818 0.000 -1.898 4.818" Properties=species:S:1:pos:R:3 pbc="T T T"
Hf 0.000 0.000 0.000
Cr 0.000 0.000 7.227
B 0.000 0.000 3.344
B 0.000 0.000 11.111
```

SG: No. 166
V in A^3/atom: 11.277
Offset from the most stable computed form in meV/atom: 0
Final energy in eV/atom: -8.518

***

# 9
TbDy2Tl2Cd2: relaxed, PBE.

The structure in extended XYZ format:
```
7
Lattice="2.505 1.446 8.705 -2.505 1.446 8.705 0.000 -2.892 8.705" Properties=species:S:1:pos:R:3 pbc="T T T"
Tb 0.000 0.000 0.000
Dy 0.000 0.000 3.467
Dy 0.000 0.000 22.648
Tl 0.000 0.000 7.059
Tl 0.000 0.000 19.057
Cd 0.000 0.000 11.161
Cd 0.000 0.000 14.954
```

SG: No. 166
V in A^3/atom: 27.031
Final energy in eV/atom: -3.046